A relaxed Cs2BaTl crystal, computed with PBE-GGA.

Lattice parameters (Å, degrees): 13.538 13.538 10.173 48.29 48.29 90.00
Sites, in units of the cell vectors:
Cs 0.742 0.125 0.250
Cs 0.008 0.625 0.250
Cs 0.875 0.992 0.750
Cs 0.375 0.258 0.750
Tl 0.000 0.000 0.000
Tl 0.750 0.250 0.500
Ba 0.250 0.750 0.500
Ba 0.500 0.500 0.000

Summary:
energy of formation	0.107	eV/atom
ΔE to the lowest computed polymorph	0	meV per atom
D(E_F)	0.99	states/eV per atom
final energy	-11.14	eV per cell

---

A relaxed AcAsPd crystal, computed with PBE-GGA.

Lattice parameters (Å, degrees): 4.828 4.828 4.828 60.00 60.00 60.00
Sites, in units of the cell vectors:
As 0.500 0.500 0.500
Ac 0.000 0.000 0.000
Pd 0.250 0.250 0.250

Summary:
energy of formation	-0.984	eV/atom
ΔE to the lowest computed polymorph	234	meV per atom
D(E_F)	0.03	states/eV per atom
final energy	-16.90	eV per cell

---

A relaxed U3C2 crystal, computed with PBE-GGA.

Lattice parameters (Å, degrees): 5.644 5.644 6.807 65.51 65.51 60.00
Sites, in units of the cell vectors:
U 0.250 0.590 0.250
U 0.590 0.910 0.250
U 0.410 0.090 0.750
U 0.090 0.750 0.750
U 0.910 0.250 0.250
U 0.750 0.410 0.750
C 0.668 0.668 0.995
C 0.332 0.332 0.005
C 0.832 0.832 0.505
C 0.168 0.168 0.495

Summary:
energy of formation	0.061	eV/atom
D(E_F)	1.98	states/eV per atom
final energy	-104.02	eV per cell